Record 1
# NaH2Se, relaxed, DFT PBE
data_NaH2Se
_chemical_formula_sum 'Na2 H4 Se2'
_cell_length_a 4.4841
_cell_length_b 5.1076
_cell_length_c 6.6823
_cell_angle_alpha 90.00
_cell_angle_beta 109.50
_cell_angle_gamma 90.00
_space_group_name_H-M_alt 'P 1 21/m 1'
_space_group_IT_number 11
loop_
_space_group_symop_operation_xyz
'x,y,z'
'-x,-y,-z'
'-x,y+1/2,-z'
'x,-y+1/2,z'
loop_
_atom_site_label
_atom_site_type_symbol
_atom_site_fract_x
_atom_site_fract_y
_atom_site_fract_z
Na1 Na 0.0959 0.2500 0.1941
H1 H 0.2761 0.6758 0.5517
Se1 Se 0.4623 0.2500 0.9254
# - calculated volume (Å³ per atom) = 18.03
# - polymorph energy (0 for the lowest one) (meV/atom) = 0
# - total magnetization (μB per formula unit) = 0.00

---

Record 2
# KMn2Cl, relaxed, DFT PBE
data_KMn2Cl
_chemical_formula_sum 'K4 Mn8 Cl4'
_cell_length_a 7.5515
_cell_length_b 7.5515
_cell_length_c 7.5515
_cell_angle_alpha 90.00
_cell_angle_beta 90.00
_cell_angle_gamma 90.00
_space_group_name_H-M_alt 'F -4 3 m'
_space_group_IT_number 216
_space_group_name_Hall 'F -4 2 3'
loop_
_atom_site_label
_atom_site_type_symbol
_atom_site_fract_x
_atom_site_fract_y
_atom_site_fract_z
K1 K 0.0000 0.0000 0.0000
Mn1 Mn 0.0000 0.0000 0.5000
Mn2 Mn 0.2500 0.2500 0.2500
Cl1 Cl 0.2500 0.2500 0.7500
# - calculated volume (Å³ per atom) = 26.91
# - polymorph energy (0 for the lowest one) (meV/atom) = 541
# - density of states at the Fermi level (states/eV/atom) = 0.96
# - uncorrected formation energy (eV/atom) = 0.592
# - total magnetization (μB per formula unit) = 9.56

---

Record 3
# TbHoTe3, relaxed, DFT PBE
data_TbHoTe3
_chemical_formula_sum 'Tb6 Ho6 Te18'
_cell_length_a 7.6859
_cell_length_b 7.6859
_cell_length_c 21.0972
_cell_angle_alpha 90.00
_cell_angle_beta 90.00
_cell_angle_gamma 120.00
_space_group_name_H-M_alt 'R -3'
_space_group_IT_number 148
_space_group_name_Hall '-R 3'
loop_
_atom_site_label
_atom_site_type_symbol
_atom_site_fract_x
_atom_site_fract_y
_atom_site_fract_z
Tb1 Tb 0.0000 0.0000 0.1569
Ho1 Ho 0.0000 0.0000 0.3425
Te1 Te 0.0016 0.3147 0.2506
# - calculated volume (Å³ per atom) = 35.98
# - uncorrected formation energy (eV/atom) = -1.361
# - total magnetization (μB per formula unit) = 0.00

---

Record 4
# CdSi2Os, relaxed, DFT PBE
data_CdSi2Os
_chemical_formula_sum 'Cd2 Si4 Os2'
_cell_length_a 2.9732
_cell_length_b 4.8620
_cell_length_c 9.7362
_cell_angle_alpha 90.00
_cell_angle_beta 90.00
_cell_angle_gamma 90.00
_space_group_name_H-M_alt 'C m m m'
_space_group_IT_number 65
_space_group_name_Hall '-C 2 2'
loop_
_atom_site_label
_atom_site_type_symbol
_atom_site_fract_x
_atom_site_fract_y
_atom_site_fract_z
Cd1 Cd 0.0000 0.0000 0.0000
Si1 Si 0.0000 0.5000 0.2993
Os1 Os 0.0000 0.0000 0.5000
# - calculated volume (Å³ per atom) = 17.59
# - density of states at the Fermi level (states/eV/atom) = 0.32
# - uncorrected formation energy (eV/atom) = 0.351
# - total magnetization (μB per formula unit) = 0.00

---

Record 5
# Ni3Pd13, relaxed, DFT PBE
data_Ni3Pd13
_chemical_formula_sum 'Ni6 Pd26'
_cell_length_a 7.7054
_cell_length_b 7.7946
_cell_length_c 7.8611
_cell_angle_alpha 90.00
_cell_angle_beta 90.00
_cell_angle_gamma 90.00
_space_group_name_H-M_alt 'A m m 2'
_space_group_IT_number 38
loop_
_space_group_symop_operation_xyz
'x,y,z'
'-x,-y,z'
'-x,y,z'
'x,-y,z'
'x,y+1/2,z+1/2'
'-x,-y+1/2,z+1/2'
'-x,y+1/2,z+1/2'
'x,-y+1/2,z+1/2'
loop_
_atom_site_label
_atom_site_type_symbol
_atom_site_fract_x
_atom_site_fract_y
_atom_site_fract_z
Ni1 Ni 0.0000 0.0000 0.0000
Ni2 Ni 0.2481 0.0000 0.2463
Pd1 Pd 0.0000 0.0000 0.4944
Pd2 Pd 0.0000 0.2387 0.2454
Pd3 Pd 0.2443 0.0000 0.7495
Pd4 Pd 0.2455 0.2452 0.9983
Pd5 Pd 0.5000 0.0000 0.0016
Pd6 Pd 0.5000 0.0000 0.4952
Pd7 Pd 0.5000 0.2445 0.2485
# - calculated volume (Å³ per atom) = 14.75
# - density of states at the Fermi level (states/eV/atom) = 1.73
# - energy of formation from the pure elements (eV/atom) = 0.03
# - total magnetization (μB per formula unit) = 7.49

---

Record 6
# Na2TlCl4, relaxed, DFT PBE
data_Na2TlCl4
_chemical_formula_sum 'Na4 Tl2 Cl8'
_cell_length_a 5.4775
_cell_length_b 5.4775
_cell_length_c 14.8623
_cell_angle_alpha 90.00
_cell_angle_beta 90.00
_cell_angle_gamma 90.00
_space_group_name_H-M_alt 'I 4/m m m'
_space_group_IT_number 139
_space_group_name_Hall '-I 4 2'
loop_
_atom_site_label
_atom_site_type_symbol
_atom_site_fract_x
_atom_site_fract_y
_atom_site_fract_z
Na1 Na 0.0000 0.0000 0.1377
Tl1 Tl 0.0000 0.0000 0.5000
Cl1 Cl 0.0000 0.0000 0.3130
Cl2 Cl 0.0000 0.5000 0.0000
# - calculated volume (Å³ per atom) = 31.85
# - polymorph energy (0 for the lowest one) (meV/atom) = 63
# - density of states at the Fermi level (states/eV/atom) = 0.31
# - uncorrected formation energy (eV/atom) = -1.180
# - total magnetization (μB per formula unit) = 0.00

---

Record 7
# MnGeSe2N, relaxed, DFT PBE
data_MnGeSe2N
_chemical_formula_sum 'Mn1 Ge1 Se2 N1'
_cell_length_a 5.2158
_cell_length_b 5.2158
_cell_length_c 3.5275
_cell_angle_alpha 90.00
_cell_angle_beta 90.00
_cell_angle_gamma 90.00
_space_group_name_H-M_alt 'P 4/m m m'
_space_group_IT_number 123
_space_group_name_Hall '-P 4 2'
loop_
_atom_site_label
_atom_site_type_symbol
_atom_site_fract_x
_atom_site_fract_y
_atom_site_fract_z
Mn1 Mn 0.0000 0.0000 0.0000
Ge1 Ge 0.5000 0.5000 0.5000
Se1 Se 0.0000 0.5000 0.5000
N1 N 0.5000 0.5000 0.0000
# - calculated volume (Å³ per atom) = 19.19
# - polymorph energy (0 for the lowest one) (meV/atom) = 492
# - density of states at the Fermi level (states/eV/atom) = 0.54
# - uncorrected formation energy (eV/atom) = 0.661
# - total magnetization (μB per formula unit) = 4.66

---

Record 8
# Pm2PrHo, relaxed, DFT PBE
data_Pm2PrHo
_chemical_formula_sum 'Pm2 Pr1 Ho1'
_cell_length_a 3.6358
_cell_length_b 3.6358
_cell_length_c 10.2899
_cell_angle_alpha 90.00
_cell_angle_beta 90.00
_cell_angle_gamma 90.00
_space_group_name_H-M_alt 'P 4/m m m'
_space_group_IT_number 123
_space_group_name_Hall '-P 4 2'
loop_
_atom_site_label
_atom_site_type_symbol
_atom_site_fract_x
_atom_site_fract_y
_atom_site_fract_z
Pm1 Pm 0.0000 0.0000 0.2440
Pr1 Pr 0.5000 0.5000 0.5000
Ho1 Ho 0.5000 0.5000 0.0000
# - calculated volume (Å³ per atom) = 34.01
# - polymorph energy (0 for the lowest one) (meV/atom) = 3
# - density of states at the Fermi level (states/eV/atom) = 1.38
# - energy of formation from the pure elements (eV/atom) = 0.02
# - total magnetization (μB per formula unit) = 0.00

---

Question: Among the records above, which one has the highest calculated volume?
Answer: TbHoTe3

---

Question: Which formula does entry 1 have?
Answer: NaH2Se

---

Question: Look up the total magnetization of the fifth one.
Answer: 7.49 μB per formula unit